# AcHoC3N6 (PBE-GGA, relaxed)
data_AcHoC3N6
_cell_length_a 6.384
_cell_length_b 6.384
_cell_length_c 6.384
_cell_angle_alpha 115.79
_cell_angle_beta 64.21
_cell_angle_gamma 115.79
_symmetry_space_group_name_H-M 'P 1'
_symmetry_Int_Tables_number 1
_symmetry_space_group_name_Hall 'P 1'
loop_
_atom_site_label
_atom_site_type_symbol
_atom_site_fract_x
_atom_site_fract_y
_atom_site_fract_z
C1 C 0.534 0.829 0.991
C2 C 0.171 0.009 0.534
C3 C 0.991 0.466 0.171
N1 N 0.418 0.813 0.870
N2 N 0.646 0.842 0.115
N3 N 0.158 0.885 0.646
N4 N 0.115 0.354 0.158
N5 N 0.870 0.582 0.187
N6 N 0.187 0.130 0.418
Ho1 Ho 0.060 0.940 0.060
Ac1 Ac 0.420 0.580 0.420
# Symmetry   R3 (146)
# Energy relative to the elements, uncorrected   -73.8 kJ/mol of atoms
# Calculated volume   201.0 Å³/cell
# D(E_F)   0.00 states/eV/f.u.
# Energy   -0.6329 Ry per atom

---

# Ac2HoC2N6 (PBE-GGA, relaxed)
data_Ac2HoC2N6
_cell_length_a 5.420
_cell_length_b 5.560
_cell_length_c 6.657
_cell_angle_alpha 117.51
_cell_angle_beta 90.00
_cell_angle_gamma 119.17
_symmetry_space_group_name_H-M 'P 1'
_symmetry_Int_Tables_number 1
_symmetry_space_group_name_Hall 'P 1'
loop_
_atom_site_label
_atom_site_type_symbol
_atom_site_fract_x
_atom_site_fract_y
_atom_site_fract_z
N1 N 0.241 0.045 0.780
N2 N 0.759 0.955 0.220
N3 N 0.804 0.045 0.780
N4 N 0.196 0.955 0.220
N5 N 0.221 0.442 0.333
N6 N 0.779 0.558 0.667
Ac1 Ac 0.286 0.571 0.802
Ac2 Ac 0.714 0.429 0.198
C1 C 0.059 0.119 0.254
C2 C 0.941 0.881 0.746
Ho1 Ho 0.500 0.000 0.500
# Symmetry   C2/m (12)
# Energy relative to the elements, uncorrected   -80.1 kJ/mol of atoms
# Calculated volume   148.7 Å³/cell
# D(E_F)   5.70 states/eV/f.u.
# Energy   -0.6036 Ry per atom

---

# AcHoC2O8 (PBE-GGA, relaxed)
data_AcHoC2O8
_cell_length_a 5.054
_cell_length_b 5.032
_cell_length_c 6.664
_cell_angle_alpha 67.82
_cell_angle_beta 67.72
_cell_angle_gamma 59.86
_symmetry_space_group_name_H-M 'P 1'
_symmetry_Int_Tables_number 1
_symmetry_space_group_name_Hall 'P 1'
loop_
_atom_site_label
_atom_site_type_symbol
_atom_site_fract_x
_atom_site_fract_y
_atom_site_fract_z
O1 O 0.911 0.459 0.719
O2 O 0.089 0.541 0.281
O3 O 0.660 0.654 0.027
O4 O 0.459 0.911 0.721
O5 O 0.340 0.346 0.973
O6 O 0.909 0.911 0.721
O7 O 0.541 0.089 0.279
O8 O 0.091 0.089 0.279
C1 C 0.735 0.735 0.795
C2 C 0.265 0.265 0.205
Ho1 Ho 0.000 0.000 0.000
Ac1 Ac 0.500 0.500 0.500
# Symmetry   C2/m (12)
# Energy relative to the elements, uncorrected   -193.5 kJ/mol of atoms
# Calculated volume   131.9 Å³/cell
# D(E_F)   7.04 states/eV/f.u.
# Energy   -0.5565 Ry per atom

---

# Ac2CI (PBE-GGA, relaxed)
data_Ac2CI
_cell_length_a 4.068
_cell_length_b 4.068
_cell_length_c 8.761
_cell_angle_alpha 76.57
_cell_angle_beta 76.57
_cell_angle_gamma 60.00
_symmetry_space_group_name_H-M 'P 1'
_symmetry_Int_Tables_number 1
_symmetry_space_group_name_Hall 'P 1'
loop_
_atom_site_label
_atom_site_type_symbol
_atom_site_fract_x
_atom_site_fract_y
_atom_site_fract_z
C1 C 0.666 0.666 0.001
Ac1 Ac 0.275 0.275 0.176
Ac2 Ac 0.059 0.059 0.822
I1 I 0.500 0.500 0.501
# Symmetry   R3m (160)
# Energy relative to the elements, uncorrected   -53.9 kJ/mol of atoms
# Calculated volume   121.0 Å³/cell
# D(E_F)   2.59 states/eV/f.u.
# Energy   -0.3900 Ry per atom

---

# Ac2CI (PBE-GGA, relaxed)
data_Ac2CI
_cell_length_a 4.085
_cell_length_b 4.085
_cell_length_c 8.729
_cell_angle_alpha 76.47
_cell_angle_beta 76.47
_cell_angle_gamma 60.00
_symmetry_space_group_name_H-M 'P 1'
_symmetry_Int_Tables_number 1
_symmetry_space_group_name_Hall 'P 1'
loop_
_atom_site_label
_atom_site_type_symbol
_atom_site_fract_x
_atom_site_fract_y
_atom_site_fract_z
Ac1 Ac 0.275 0.275 0.176
Ac2 Ac 0.725 0.725 0.824
C1 C 0.000 0.000 0.000
I1 I 0.500 0.500 0.500
# Symmetry   R-3m (166)
# Energy relative to the elements, uncorrected   -54.4 kJ/mol of atoms
# Calculated volume   121.5 Å³/cell
# D(E_F)   2.02 states/eV/f.u.
# Energy   -0.3904 Ry per atom

---

# Ac8Ir3CI4 (PBE-GGA, relaxed)
data_Ac8Ir3CI4
_cell_length_a 8.692
_cell_length_b 9.946
_cell_length_c 8.703
_cell_angle_alpha 115.97
_cell_angle_beta 119.96
_cell_angle_gamma 90.00
_symmetry_space_group_name_H-M 'P 1'
_symmetry_Int_Tables_number 1
_symmetry_space_group_name_Hall 'P 1'
loop_
_atom_site_label
_atom_site_type_symbol
_atom_site_fract_x
_atom_site_fract_y
_atom_site_fract_z
I1 I 0.500 0.000 0.000
I2 I 0.000 0.000 0.000
I3 I 0.000 0.000 0.500
I4 I 0.500 0.000 0.500
Ac1 Ac 0.729 0.687 0.459
Ac2 Ac 0.780 0.323 0.560
Ac3 Ac 0.220 0.677 0.959
Ac4 Ac 0.739 0.677 0.959
Ac5 Ac 0.780 0.323 0.041
Ac6 Ac 0.261 0.323 0.041
Ac7 Ac 0.271 0.313 0.541
Ac8 Ac 0.220 0.677 0.440
C1 C 0.000 0.500 0.000
Ir1 Ir 0.500 0.500 0.500
Ir2 Ir 0.000 0.500 0.500
Ir3 Ir 0.500 0.500 0.000
# Symmetry   C2/m (12)
# Energy relative to the elements, uncorrected   -86.7 kJ/mol of atoms
# Calculated volume   562.5 Å³/cell
# D(E_F)   8.89 states/eV/f.u.
# Energy   -0.4100 Ry per atom

---

# Ac6Ir2CI2 (PBE-GGA, relaxed)
data_Ac6Ir2CI2
_cell_length_a 7.444
_cell_length_b 7.444
_cell_length_c 9.013
_cell_angle_alpha 98.53
_cell_angle_beta 98.53
_cell_angle_gamma 119.79
_symmetry_space_group_name_H-M 'P 1'
_symmetry_Int_Tables_number 1
_symmetry_space_group_name_Hall 'P 1'
loop_
_atom_site_label
_atom_site_type_symbol
_atom_site_fract_x
_atom_site_fract_y
_atom_site_fract_z
Ac1 Ac 0.619 0.936 0.321
Ac2 Ac 0.253 0.253 0.326
Ac3 Ac 0.936 0.619 0.321
Ac4 Ac 0.064 0.381 0.679
Ac5 Ac 0.747 0.747 0.674
Ac6 Ac 0.381 0.064 0.679
Ir1 Ir 0.331 0.669 0.500
Ir2 Ir 0.669 0.331 0.500
I1 I 0.832 0.168 0.000
I2 I 0.168 0.832 0.000
C1 C 0.000 0.000 0.500
# Symmetry   C2/m (12)
# Energy relative to the elements, uncorrected   -64.8 kJ/mol of atoms
# Calculated volume   414.1 Å³/cell
# D(E_F)   7.12 states/eV/f.u.
# Energy   -0.4148 Ry per atom

---

# Ac8Ir3CI3 (PBE-GGA, relaxed)
data_Ac8Ir3CI3
_cell_length_a 8.696
_cell_length_b 8.699
_cell_length_c 9.995
_cell_angle_alpha 115.77
_cell_angle_beta 89.95
_cell_angle_gamma 120.01
_symmetry_space_group_name_H-M 'P 1'
_symmetry_Int_Tables_number 1
_symmetry_space_group_name_Hall 'P 1'
loop_
_atom_site_label
_atom_site_type_symbol
_atom_site_fract_x
_atom_site_fract_y
_atom_site_fract_z
Ac1 Ac 0.739 0.957 0.675
Ac2 Ac 0.782 0.043 0.326
Ac3 Ac 0.729 0.458 0.686
Ac4 Ac 0.782 0.564 0.326
Ac5 Ac 0.218 0.957 0.674
Ac6 Ac 0.218 0.436 0.674
Ac7 Ac 0.261 0.043 0.325
Ac8 Ac 0.271 0.542 0.314
C1 C 0.000 0.000 0.500
I1 I 0.500 0.500 0.000
I2 I 0.000 0.000 0.000
I3 I 0.000 0.500 0.000
Ir1 Ir 0.000 0.500 0.500
Ir2 Ir 0.500 0.000 0.500
Ir3 Ir 0.500 0.500 0.500
# Symmetry   C2/m (12)
# Energy relative to the elements, uncorrected   -73.0 kJ/mol of atoms
# Calculated volume   566.3 Å³/cell
# D(E_F)   8.79 states/eV/f.u.
# Energy   -0.4149 Ry per atom

---

# AcLaCI (PBE-GGA, relaxed)
data_AcLaCI
_cell_length_a 4.006
_cell_length_b 4.010
_cell_length_c 8.551
_cell_angle_alpha 89.98
_cell_angle_beta 103.59
_cell_angle_gamma 119.98
_symmetry_space_group_name_H-M 'P 1'
_symmetry_Int_Tables_number 1
_symmetry_space_group_name_Hall 'P 1'
loop_
_atom_site_label
_atom_site_type_symbol
_atom_site_fract_x
_atom_site_fract_y
_atom_site_fract_z
Ac1 Ac 0.519 0.157 0.692
I1 I 0.961 0.379 0.355
La1 La 0.087 0.941 0.044
C1 C 0.310 0.553 0.879
# Symmetry   R3m (160)
# Energy relative to the elements, uncorrected   -61.3 kJ/mol of atoms
# Calculated volume   114.5 Å³/cell
# D(E_F)   2.42 states/eV/f.u.
# Energy   -0.4107 Ry per atom

---

# Ac8C3I4N (PBE-GGA, relaxed)
data_Ac8C3I4N
_cell_length_a 8.102
_cell_length_b 9.604
_cell_length_c 8.109
_cell_angle_alpha 115.02
_cell_angle_beta 119.97
_cell_angle_gamma 90.00
_symmetry_space_group_name_H-M 'P 1'
_symmetry_Int_Tables_number 1
_symmetry_space_group_name_Hall 'P 1'
loop_
_atom_site_label
_atom_site_type_symbol
_atom_site_fract_x
_atom_site_fract_y
_atom_site_fract_z
Ac1 Ac 0.776 0.325 0.553
Ac2 Ac 0.776 0.324 0.048
Ac3 Ac 0.728 0.676 0.952
Ac4 Ac 0.274 0.323 0.549
Ac5 Ac 0.224 0.675 0.447
Ac6 Ac 0.726 0.677 0.451
Ac7 Ac 0.224 0.676 0.952
Ac8 Ac 0.272 0.324 0.048
C1 C 0.500 0.500 0.500
C2 C 0.000 0.500 0.500
C3 C 0.500 0.500 0.000
I1 I 0.000 0.000 0.500
I2 I 0.000 0.000 0.000
I3 I 0.500 0.000 0.500
I4 I 0.500 0.000 0.000
N1 N 0.000 0.500 0.000
# Symmetry   C2/m (12)
# Energy relative to the elements, uncorrected   -67.6 kJ/mol of atoms
# Calculated volume   477.0 Å³/cell
# D(E_F)   8.11 states/eV/f.u.
# Energy   -0.3963 Ry per atom

---

# Ac4CI2N (PBE-GGA, relaxed)
data_Ac4CI2N
_cell_length_a 4.024
_cell_length_b 6.968
_cell_length_c 8.687
_cell_angle_alpha 105.61
_cell_angle_beta 90.00
_cell_angle_gamma 90.00
_symmetry_space_group_name_H-M 'P 1'
_symmetry_Int_Tables_number 1
_symmetry_space_group_name_Hall 'P 1'
loop_
_atom_site_label
_atom_site_type_symbol
_atom_site_fract_x
_atom_site_fract_y
_atom_site_fract_z
Ac1 Ac 0.500 0.222 0.175
Ac2 Ac 0.000 0.271 0.824
Ac3 Ac 0.000 0.729 0.176
Ac4 Ac 0.500 0.778 0.825
C1 C 0.500 0.500 0.000
I1 I 0.000 0.500 0.500
I2 I 0.500 0.000 0.500
N1 N 0.000 0.000 0.000
# Symmetry   P2/m (10)
# Energy relative to the elements, uncorrected   -80.7 kJ/mol of atoms
# Calculated volume   234.6 Å³/cell
# D(E_F)   3.71 states/eV/f.u.
# Energy   -0.4022 Ry per atom

---

# Ac6C2I3N (PBE-GGA, relaxed)
data_Ac6C2I3N
_cell_length_a 7.001
_cell_length_b 7.001
_cell_length_c 8.698
_cell_angle_alpha 97.71
_cell_angle_beta 97.71
_cell_angle_gamma 120.00
_symmetry_space_group_name_H-M 'P 1'
_symmetry_Int_Tables_number 1
_symmetry_space_group_name_Hall 'P 1'
loop_
_atom_site_label
_atom_site_type_symbol
_atom_site_fract_x
_atom_site_fract_y
_atom_site_fract_z
Ac1 Ac 0.611 0.942 0.824
Ac2 Ac 0.389 0.058 0.176
Ac3 Ac 0.058 0.389 0.176
Ac4 Ac 0.728 0.728 0.176
Ac5 Ac 0.942 0.611 0.824
Ac6 Ac 0.272 0.272 0.824
C1 C 0.666 0.334 0.000
C2 C 0.334 0.666 0.000
I1 I 0.168 0.832 0.500
I2 I 0.832 0.168 0.500
I3 I 0.500 0.500 0.500
N1 N 0.000 0.000 0.000
# Symmetry   C2/m (12)
# Energy relative to the elements, uncorrected   -72.2 kJ/mol of atoms
# Calculated volume   355.7 Å³/cell
# D(E_F)   6.30 states/eV/f.u.
# Energy   -0.3985 Ry per atom

---

What is the formula in the third record?
AcHoC2O8